## i
VASP calculation (GGA-PBE) on PmDy3Se4 after structural relaxation.

a b c (Å): 5.8100 5.8100 5.8100
angles (deg): 90.00 90.00 90.00
Sites, in units of the cell vectors:
1 Pm 0.0000 0.0000 0.0000
2 Dy 0.0000 0.5000 0.5000
3 Dy 0.5000 0.0000 0.5000
4 Dy 0.5000 0.5000 0.0000
5 Se 0.5000 0.0000 0.0000
6 Se 0.0000 0.5000 0.0000
7 Se 0.0000 0.0000 0.5000
8 Se 0.5000 0.5000 0.5000

***

## ii
VASP calculation (GGA-PBE) on PmDy3Se4 after structural relaxation.

a b c (Å): 4.0944 4.0944 13.6847
angles (deg): 81.40 81.40 60.00
Sites, in units of the cell vectors:
1 Dy 0.7511 0.7511 0.7466
2 Dy 0.5000 0.5000 0.5000
3 Dy 0.2489 0.2489 0.2534
4 Se 0.6224 0.6224 0.1329
5 Se 0.8743 0.8743 0.3770
6 Se 0.3776 0.3776 0.8671
7 Se 0.1257 0.1257 0.6230
8 Pm 0.0000 0.0000 0.0000

***

Which of them is the most stable? Correct choice: ii.

***

## i
VASP calculation (GGA-PBE) on PmDy2Se after structural relaxation.

a b c (Å): 3.8031 3.8031 9.7821
angles (deg): 78.79 78.79 60.00
Sites, in units of the cell vectors:
1 Pm 0.4996 0.4996 0.5011
2 Dy 0.0648 0.0648 0.8057
3 Dy 0.2688 0.2688 0.1935
4 Se 0.6668 0.6668 0.9997

***

## ii
VASP calculation (GGA-PBE) on PmDy2Se after structural relaxation.

a b c (Å): 3.7235 3.7235 10.6527
angles (deg): 79.93 79.93 60.00
Sites, in units of the cell vectors:
1 Pm 0.0000 0.0000 0.0000
2 Se 0.5000 0.5000 0.5000
3 Dy 0.1092 0.1092 0.6725
4 Dy 0.8908 0.8908 0.3275

***

Which of them is the most stable? Correct choice: i.

***

## i
VASP calculation (GGA-PBE) on PmDy4Se5 after structural relaxation.

a b c (Å): 4.0962 7.1145 9.1506
angles (deg): 75.04 77.07 73.27
Sites, in units of the cell vectors:
1 Pm 0.0000 0.0000 0.0000
2 Dy 0.5981 0.1995 0.6043
3 Dy 0.2039 0.3920 0.2003
4 Dy 0.7961 0.6080 0.7997
5 Dy 0.4019 0.8005 0.3957
6 Se 0.2031 0.9008 0.6929
7 Se 0.7969 0.0992 0.3071
8 Se 0.3953 0.3130 0.8964
9 Se 0.0000 0.5000 0.5000
10 Se 0.6047 0.6870 0.1036

***

## ii
VASP calculation (GGA-PBE) on PmDy4Se5 after structural relaxation.

a b c (Å): 4.0938 4.0938 14.8333
angles (deg): 97.93 97.93 90.00
Sites, in units of the cell vectors:
1 Pm 0.0000 0.0000 0.0000
2 Dy 0.4024 0.4024 0.8047
3 Dy 0.7961 0.7961 0.5921
4 Dy 0.2039 0.2039 0.4079
5 Dy 0.5976 0.5976 0.1953
6 Se 0.1031 0.1031 0.2062
7 Se 0.5000 0.5000 0.0000
8 Se 0.8969 0.8969 0.7938
9 Se 0.3025 0.3025 0.6051
10 Se 0.6975 0.6975 0.3949

***

Which of them is the most stable? Correct choice: i.

***

## i
VASP calculation (GGA-PBE) on Pm2Dy3Se6 after structural relaxation.

a b c (Å): 4.1762 4.1762 20.2855
angles (deg): 84.09 84.09 60.00
Sites, in units of the cell vectors:
1 Pm 0.4457 0.4457 0.6628
2 Pm 0.5543 0.5543 0.3372
3 Dy 0.0000 0.0000 0.0000
4 Dy 0.2808 0.2808 0.1577
5 Dy 0.7192 0.7192 0.8423
6 Se 0.0803 0.0803 0.7592
7 Se 0.9197 0.9197 0.2408
8 Se 0.1967 0.1967 0.4098
9 Se 0.8033 0.8033 0.5902
10 Se 0.3600 0.3600 0.9202
11 Se 0.6400 0.6400 0.0798

***

## ii
VASP calculation (GGA-PBE) on Pm2Dy3Se6 after structural relaxation.

a b c (Å): 7.1294 7.1042 7.1341
angles (deg): 80.41 70.60 59.88
Sites, in units of the cell vectors:
1 Pm 0.1651 0.6698 0.5000
2 Pm 0.8349 0.3302 0.5000
3 Dy 0.0000 0.0000 0.0000
4 Dy 0.3345 0.3310 0.0000
5 Dy 0.6655 0.6690 0.0000
6 Se 0.4147 0.6722 0.7566
7 Se 0.7414 0.0000 0.7530
8 Se 0.0869 0.3278 0.7566
9 Se 0.2586 0.0000 0.2470
10 Se 0.5853 0.3278 0.2434
11 Se 0.9131 0.6722 0.2434

***

Which of them is the most stable? Correct choice: ii.